## i
Computed, not measured: crystalline LiAs2Br at its relaxed geometry at the PBE level of DFT.

```
LiAs2Br
1.0
3.6603 0.0000 0.0000
0.0000 6.8842 0.0000
-0.1682 0.0000 4.0506
Li As Br
1 2 1
Direct
0.0000 0.0000 0.0000
0.2310 0.5000 0.8087
0.7690 0.5000 0.1913
0.5000 0.0000 0.5000
```

## ii
Computed, not measured: crystalline LiAs2Br at its relaxed geometry at the PBE level of DFT.

```
LiAs2Br
1.0
6.5857 0.0000 0.0000
0.0000 3.8014 0.0000
-0.0009 0.0000 8.1406
Li As Br
2 4 2
Direct
0.0000 0.0000 0.0000
0.5000 0.5000 0.0000
0.3325 0.0000 0.4922
0.4992 0.5000 0.6559
0.8325 0.5000 0.4922
0.9992 0.0000 0.6559
0.1668 0.5000 0.1193
0.6668 0.0000 0.1193
```

## iii
Computed, not measured: crystalline LiAs2Br at its relaxed geometry at the PBE level of DFT.

```
LiAs2Br
1.0
4.3801 0.0000 0.0000
0.0000 4.3801 0.0000
0.0000 0.0000 5.4913
Li As Br
1 2 1
Direct
0.0000 0.0000 0.0000
0.5000 0.5000 0.1980
0.5000 0.5000 0.8020
0.0000 0.0000 0.5000
```

## iv
Computed, not measured: crystalline LiAs2Br at its relaxed geometry at the PBE level of DFT.

```
LiAs2Br
1.0
3.0983 0.0000 0.0000
0.0000 3.0983 0.0000
0.0000 0.0000 8.9571
Li As Br
1 2 1
Direct
0.0000 0.0000 0.0000
0.5000 0.5000 0.1520
0.5000 0.5000 0.8480
0.0000 0.0000 0.5000
```

Which one is the least stable? From the structures above, iv.